Record 1
A geometry-optimized Sr2TmP3Pt12 structure. Source: the Alexandria database, functional PBE.

Lattice parameters (Å, degrees): 8.3773 8.3773 18.2742 90.00 90.00 120.00
Space group R-3m (No. 166, hexagonal axes)
Unique sites:
Sr 0.0000 0.0000 0.1006 [6 per cell]
Tm 0.0000 0.0000 0.5000 [3 per cell]
P 0.0000 0.5000 0.0000 [9 per cell]
Pt 0.0166 0.5083 0.8749 [18 per cell]
Pt 0.0461 0.5231 0.3574 [18 per cell]

Results
The calculation puts the formation energy at -0.420 eV per atom.

---

Record 2
A geometry-optimized Sr2UP3Pt12 structure. Source: the Alexandria database, functional PBE.

Lattice parameters (Å, degrees): 8.2311 8.2311 19.3310 90.00 90.00 120.00
Space group R-3m (No. 166, hexagonal axes)
Unique sites:
Sr 0.0000 0.0000 0.1013 [6 per cell]
U 0.0000 0.0000 0.5000 [3 per cell]
P 0.0000 0.5000 0.0000 [9 per cell]
Pt 0.0110 0.5055 0.8780 [18 per cell]
Pt 0.0468 0.5234 0.3604 [18 per cell]

Results
The calculation puts the formation energy at -0.388 eV per atom.